Record 1
A plane-wave DFT calculation with PBE was carried out for a relaxed Pr4PdRh crystal.

Unit cell a=7.2499 b=7.1116 c=8.6530 alpha=110.03 beta=110.60 gamma=99.39
Atoms (fractional coordinates):
Pr: 0.9569 0.2837 0.0575
Pr: 0.6007 0.7739 0.0575
Pr: 0.2782 0.5188 0.5605
Pr: 0.7218 0.4812 0.4395
Pr: 0.2178 0.9584 0.4395
Pr: 0.3993 0.2261 0.9425
Pr: 0.7822 0.0416 0.5605
Pr: 0.0431 0.7163 0.9425
Pd: 0.3756 0.6256 0.2511
Pd: 0.6244 0.3744 0.7489
Rh: 0.0937 0.8437 0.6874
Rh: 0.9063 0.1563 0.3126

Values from the calculation:
Space-group type: C2/c
Total magnetic moment: 0.0 μB per formula unit
ΔE to the lowest computed polymorph: 42.2 meV per atom
Formation energy: -0.42 eV per atom
Crystal system: monoclinic

***

Record 2
A plane-wave DFT calculation with PBE was carried out for a relaxed PrPdRh crystal.

Unit cell a=3.9115 b=4.4026 c=4.4026 alpha=120.00 beta=90.00 gamma=90.00
Atoms (fractional coordinates):
Pr: 0.6667 0.6667 0.3333
Rh: 0.1666 0.3333 0.6667
Pd: 0.1667 0.0000 0.0000

Values from the calculation:
Space-group type: P-6m2
Total magnetic moment: 0.0 μB per formula unit
ΔE to the lowest computed polymorph: 96.9 meV per atom
Formation energy: -0.57 eV per atom
Crystal system: hexagonal

***

Record 3
A plane-wave DFT calculation with PBE was carried out for a relaxed Pr8Pd2Rh crystal.

Unit cell a=5.2056 b=7.0127 c=9.3725 alpha=99.17 beta=106.12 gamma=90.00
Atoms (fractional coordinates):
Pr: 0.4121 0.5586 0.8243
Pr: 0.6627 0.9692 0.3254
Pr: 0.7985 0.6656 0.5970
Pr: 0.9683 0.2189 0.9367
Pr: 0.2015 0.3344 0.4030
Pr: 0.3373 0.0308 0.6746
Pr: 0.5879 0.4414 0.1757
Pr: 0.0317 0.7811 0.0633
Pd: 0.8021 0.2550 0.6041
Pd: 0.1979 0.7450 0.3959
Rh: 0.5000 0.0000 0.0000

Values from the calculation:
Space-group type: C2/m
Total magnetic moment: 0.0 μB per formula unit
ΔE to the lowest computed polymorph: 0.0 meV per atom
Formation energy: -0.37 eV per atom
Crystal system: monoclinic

***

Record 4
A plane-wave DFT calculation with PBE was carried out for a relaxed Pr3Pd2Rh crystal.

Unit cell a=4.2729 b=11.8959 c=11.9520 alpha=90.00 beta=90.00 gamma=90.00
Atoms (fractional coordinates):
Pr: 0.2500 0.3736 0.0477
Pr: 0.7500 0.6264 0.9523
Pr: 0.7500 0.8736 0.4523
Pr: 0.2500 0.1264 0.5477
Pr: 0.2500 0.7003 0.2282
Pr: 0.7500 0.2997 0.7718
Pr: 0.7500 0.2003 0.2718
Pr: 0.2500 0.7997 0.7282
Pr: 0.2500 0.4444 0.3795
Pr: 0.7500 0.5556 0.6205
Pr: 0.7500 0.9444 0.1205
Pr: 0.2500 0.0556 0.8795
Pd: 0.2500 0.6983 0.5006
Pd: 0.7500 0.3017 0.4994
Pd: 0.7500 0.1983 0.9994
Pd: 0.2500 0.8017 0.0006
Pd: 0.2500 0.9954 0.3209
Pd: 0.7500 0.0046 0.6792
Pd: 0.7500 0.4954 0.1792
Pd: 0.2500 0.5046 0.8208
Rh: 0.2500 0.1259 0.1266
Rh: 0.7500 0.8741 0.8734
Rh: 0.7500 0.6259 0.3734
Rh: 0.2500 0.3741 0.6266

Values from the calculation:
Space-group type: Pnma
Total magnetic moment: 0.0 μB per formula unit
Formation energy: -0.67 eV per atom
Crystal system: orthorhombic